# 1
Computed, not measured: a relaxed structure of Cs2K2ZnBi2 at the PBE level of DFT.

The structure belongs to space group R-3m (No. 166, hexagonal axes); the cell edges are 6.3245, 6.3245 and 31.5296 Å and the angles 90.00°, 90.00° and 120.00°. The distinct sites, in fractional coordinates, are Cs at (0.0000, 0.0000, 0.2079), K at (0.0000, 0.0000, 0.3798), Zn at (0.0000, 0.0000, 0.0000) and Bi at (0.0000, 0.0000, 0.0822).

As for the uncorrected energy: -47.641 eV/cell.

=====

# 2
Computed, not measured: a relaxed structure of Cs2K2ZnBi2 at the PBE level of DFT.

The structure belongs to space group R-3m (No. 166, hexagonal axes); the cell edges are 6.5004, 6.5004 and 29.1804 Å and the angles 90.00°, 90.00° and 120.00°. The distinct sites, in fractional coordinates, are Cs at (0.0000, 0.0000, 0.1210), K at (0.0000, 0.0000, 0.2903), Zn at (0.0000, 0.0000, 0.5000) and Bi at (0.0000, 0.0000, 0.4112).

As for the uncorrected energy: -47.625 eV/cell.

=====

- uncorrected energy of number 1 (Cs2K2ZnBi2)?
  -47.641 eV/cell